Pu3SnIr2 PBE-GGA optimized geometry; DFT formation energy = -0.34 eV per atom; magnetic moment = 14.9 μB per cell; space group = No. 65
1.0
4.3816 0.0000 -1.3861
0.0000 4.3099 0.0000
-0.3127 0.0000 6.6301
Pu Ir Sn
3 2 1
Cartesian
2.1908 2.1549 -0.6930
2.8548 0.0000 1.4061
1.2141 0.0000 3.8379
0.6187 2.1549 1.9559
3.4502 2.1549 3.2882
0.0000 0.0000 0.0000